# 1
DFT (PBE) results for Nd2TmCd4 after structural relaxation.

Computed properties:
The space group is I4/mmm, No. 139. As for the energy above the lowest structure with this stoichiometry: 0.348 eV/atom. As for the size of the total moment: 0.00 μB per cell. The value obtained for the density of states at the Fermi level is 1.011 states/eV/atom.

a = 5.576 Å, b = 5.576 Å, c = 8.880 Å
α = 108.30°, β = 108.30°, γ = 90.00°
Fractional positions:
1 Nd 0.609 0.609 0.217
2 Nd 0.391 0.391 0.783
3 Tm 0.000 0.000 0.000
4 Cd 0.812 0.812 0.623
5 Cd 0.188 0.188 0.377
6 Cd 0.000 0.500 0.000
7 Cd 0.500 0.000 0.000

# 2
DFT (PBE) results for NdTm6Cd2 after structural relaxation.

Computed properties:
The space group is C2/m, No. 12. Its total energy is -34.500 eV for the cell shown. As for the size of the total moment: 0.00 μB per cell. The value obtained for the density of states at the Fermi level is 1.117 states/eV/atom.

a = 3.688 Å, b = 6.533 Å, c = 11.664 Å
α = 74.91°, β = 80.90°, γ = 73.61°
Fractional positions:
1 Nd 0.000 0.000 0.000
2 Tm 0.684 0.507 0.125
3 Tm 0.316 0.493 0.875
4 Tm 0.313 0.793 0.581
5 Tm 0.986 0.684 0.344
6 Tm 0.014 0.316 0.656
7 Tm 0.687 0.207 0.419
8 Cd 0.350 0.082 0.219
9 Cd 0.650 0.918 0.781

# 3
DFT (PBE) results for NdTmCd4 after structural relaxation.

Computed properties:
The space group is P2/m, No. 10. As for the energy above the lowest structure with this stoichiometry: 0.000 eV/atom. As for the size of the total moment: 0.00 μB per cell. The value obtained for the density of states at the Fermi level is 0.728 states/eV/atom.

a = 3.420 Å, b = 6.078 Å, c = 8.707 Å
α = 90.00°, β = 90.00°, γ = 55.65°
Fractional positions:
1 Nd 0.501 0.497 0.998
2 Tm 0.001 0.997 0.498
3 Cd 0.501 0.997 0.171
4 Cd 0.501 0.997 0.826
5 Cd 0.001 0.497 0.660
6 Cd 0.001 0.497 0.336

# 4
DFT (PBE) results for NdTm2Cd5 after structural relaxation.

Computed properties:
The space group is I4/mmm, No. 139. Its total energy is -20.708 eV for the cell shown. As for the size of the total moment: 0.00 μB per cell. The value obtained for the density of states at the Fermi level is 0.448 states/eV/atom.

a = 5.175 Å, b = 5.175 Å, c = 8.295 Å
α = 108.18°, β = 108.18°, γ = 90.00°
Fractional positions:
1 Nd 0.000 0.000 0.000
2 Tm 0.738 0.738 0.477
3 Tm 0.262 0.262 0.523
4 Cd 0.500 0.500 0.000
5 Cd 0.874 0.374 0.748
6 Cd 0.374 0.874 0.748
7 Cd 0.126 0.626 0.252
8 Cd 0.626 0.126 0.252

# 5
DFT (PBE) results for NdTm3Cd after structural relaxation.

Computed properties:
The space group is P2_1/m, No. 11. As for the energy above the lowest structure with this stoichiometry: 0.167 eV/atom. As for the size of the total moment: 0.00 μB per cell. The value obtained for the density of states at the Fermi level is 1.403 states/eV/atom.

a = 3.531 Å, b = 8.491 Å, c = 10.911 Å
α = 90.00°, β = 90.00°, γ = 101.93°
Fractional positions:
1 Nd 0.018 0.540 0.250
2 Nd 0.982 0.460 0.750
3 Tm 0.842 0.185 0.009
4 Tm 0.158 0.815 0.991
5 Tm 0.842 0.185 0.491
6 Tm 0.158 0.815 0.509
7 Tm 0.704 0.908 0.250
8 Tm 0.296 0.092 0.750
9 Cd 0.356 0.215 0.250
10 Cd 0.644 0.785 0.750

# 6
DFT (PBE) results for Nd2Tm3Cd2 after structural relaxation.

Computed properties:
The space group is Cmmm, No. 65. As for the energy above the lowest structure with this stoichiometry: 0.024 eV/atom. As for the size of the total moment: 0.00 μB per cell. The value obtained for the density of states at the Fermi level is 1.124 states/eV/atom.

a = 3.553 Å, b = 3.513 Å, c = 16.527 Å
α = 90.00°, β = 96.17°, γ = 90.00°
Fractional positions:
1 Nd 0.298 0.500 0.596
2 Nd 0.702 0.500 0.404
3 Tm 0.427 0.500 0.854
4 Tm 0.573 0.500 0.146
5 Tm 0.000 0.000 0.000
6 Cd 0.134 0.000 0.268
7 Cd 0.866 0.000 0.732

# 7
DFT (PBE) results for Nd3TmCd3 after structural relaxation.

Computed properties:
The space group is C2/m, No. 12. Its total energy is -44.490 eV for the cell shown. As for the size of the total moment: 0.00 μB per cell. The value obtained for the density of states at the Fermi level is 1.089 states/eV/atom.

a = 7.156 Å, b = 7.156 Å, c = 8.621 Å
α = 94.45°, β = 94.45°, γ = 104.46°
Fractional positions:
1 Nd 0.638 0.638 0.368
2 Nd 0.174 0.826 0.500
3 Nd 0.826 0.174 0.500
4 Nd 0.244 0.756 0.000
5 Nd 0.756 0.244 0.000
6 Nd 0.362 0.362 0.632
7 Tm 0.701 0.701 0.973
8 Tm 0.299 0.299 0.027
9 Cd 0.005 0.005 0.206
10 Cd 0.893 0.549 0.713
11 Cd 0.549 0.893 0.713
12 Cd 0.107 0.451 0.287
13 Cd 0.451 0.107 0.287
14 Cd 0.995 0.995 0.794

# 8
DFT (PBE) results for Nd2Tm2Cd after structural relaxation.

Computed properties:
The space group is C2/m, No. 12. As for the energy above the lowest structure with this stoichiometry: 0.073 eV/atom. As for the size of the total moment: 0.00 μB per cell. The value obtained for the density of states at the Fermi level is 1.181 states/eV/atom.

a = 8.482 Å, b = 6.313 Å, c = 9.002 Å
α = 69.42°, β = 58.46°, γ = 47.79°
Fractional positions:
1 Nd 0.732 0.000 0.434
2 Nd 0.600 0.000 0.117
3 Nd 0.400 0.000 0.883
4 Nd 0.268 0.000 0.566
5 Tm 0.670 0.366 0.720
6 Tm 0.330 0.634 0.280
7 Tm 0.036 0.634 0.720
8 Tm 0.964 0.366 0.280
9 Cd 0.160 0.679 0.000
10 Cd 0.840 0.321 0.000

# 9
DFT (PBE) results for Nd2Tm3Cd2 after structural relaxation.

Computed properties:
The space group is R-3m, No. 166. As for the energy above the lowest structure with this stoichiometry: 0.000 eV/atom. As for the size of the total moment: 0.00 μB per cell. The value obtained for the density of states at the Fermi level is 1.486 states/eV/atom.

a = 5.424 Å, b = 5.424 Å, c = 8.587 Å
α = 108.44°, β = 90.00°, γ = 120.00°
Fractional positions:
1 Nd 0.925 0.849 0.273
2 Nd 0.075 0.151 0.727
3 Tm 0.500 0.000 0.000
4 Tm 0.655 0.309 0.464
5 Tm 0.345 0.691 0.536
6 Cd 0.786 0.572 0.858
7 Cd 0.214 0.428 0.142

# 10
DFT (PBE) results for Nd3Tm2Cd2 after structural relaxation.

Computed properties:
The space group is Cmmm, No. 65. As for the energy above the lowest structure with this stoichiometry: 0.079 eV/atom. As for the size of the total moment: 0.46 μB per cell. The value obtained for the density of states at the Fermi level is 1.085 states/eV/atom.

a = 5.156 Å, b = 3.515 Å, c = 11.788 Å
α = 90.00°, β = 77.37°, γ = 90.00°
Fractional positions:
1 Nd 0.852 0.000 0.297
2 Nd 0.000 0.000 0.000
3 Nd 0.148 0.000 0.703
4 Tm 0.711 0.500 0.579
5 Tm 0.289 0.500 0.421
6 Cd 0.570 0.500 0.860
7 Cd 0.430 0.500 0.140

# 11
DFT (PBE) results for Nd2Tm2Cd after structural relaxation.

Computed properties:
The space group is I4/mmm, No. 139. As for the energy above the lowest structure with this stoichiometry: 0.000 eV/atom. As for the size of the total moment: 0.00 μB per cell. The value obtained for the density of states at the Fermi level is 1.613 states/eV/atom.

a = 3.596 Å, b = 3.596 Å, c = 11.993 Å
α = 98.62°, β = 98.62°, γ = 90.00°
Fractional positions:
1 Nd 0.807 0.807 0.615
2 Nd 0.193 0.193 0.385
3 Tm 0.585 0.585 0.170
4 Tm 0.415 0.415 0.830
5 Cd 0.000 0.000 0.000

# 12
DFT (PBE) results for Nd2TmCd4 after structural relaxation.

Computed properties:
The space group is R-3m, No. 166. As for the energy above the lowest structure with this stoichiometry: 0.000 eV/atom. As for the size of the total moment: 0.00 μB per cell. The value obtained for the density of states at the Fermi level is 0.937 states/eV/atom.

a = 5.278 Å, b = 5.278 Å, c = 9.154 Å
α = 73.24°, β = 73.24°, γ = 60.00°
Fractional positions:
1 Tm 0.000 0.000 0.000
2 Nd 0.750 0.750 0.750
3 Nd 0.250 0.250 0.250
4 Cd 0.874 0.874 0.377
5 Cd 0.126 0.126 0.623
6 Cd 0.623 0.623 0.131
7 Cd 0.377 0.377 0.869